# 1
DFT (GGA-PBE) results for an optimized crystal structure of Pb2NF.

Unit cell a=6.444 b=6.444 c=6.291 alpha=59.19 beta=59.19 gamma=90.00
Sites, in units of the cell vectors:
Pb1 0.590 0.125 0.250
Pb2 0.160 0.625 0.250
Pb3 0.375 0.410 0.750
Pb4 0.875 0.840 0.750
N1 0.500 0.500 0.000
N2 0.250 0.750 0.500
F1 0.000 0.000 0.000
F2 0.750 0.250 0.500

Computed properties:
**Uncorrected formation energy**: -0.401 eV per atom
**Spin magnetization**: 0.00 μB/f.u.
**Polymorph energy (0 for the lowest one)**: 0.000 eV per atom

***

# 2
DFT (GGA-PBE) results for an optimized crystal structure of MgScGaHg.

Unit cell a=4.847 b=4.847 c=4.847 alpha=60.00 beta=60.00 gamma=60.00
Sites, in units of the cell vectors:
Sc1 0.500 0.500 0.500
Mg1 0.000 0.000 0.000
Hg1 0.750 0.750 0.750
Ga1 0.250 0.250 0.250

Computed properties:
**Spin magnetization**: 0.00 μB/f.u.
**E_form**: -36.0 kJ/mol of atoms

***

# 3
DFT (GGA-PBE) results for an optimized crystal structure of RbU3S6.

Unit cell a=4.100 b=11.373 c=11.728 alpha=108.01 beta=90.00 gamma=90.00
Sites, in units of the cell vectors:
Rb1 0.750 0.080 0.689
Rb2 0.250 0.920 0.311
U1 0.750 0.499 0.837
U2 0.250 0.501 0.163
U3 0.750 0.672 0.506
U4 0.250 0.328 0.494
U5 0.750 0.163 0.072
U6 0.250 0.837 0.928
S1 0.750 0.477 0.597
S2 0.250 0.523 0.403
S3 0.750 0.929 0.086
S4 0.250 0.071 0.914
S5 0.750 0.377 0.013
S6 0.250 0.623 0.987
S7 0.750 0.664 0.264
S8 0.250 0.336 0.736
S9 0.750 0.166 0.441
S10 0.250 0.834 0.559
S11 0.750 0.733 0.782
S12 0.250 0.267 0.218

Computed properties:
**Uncorrected formation energy**: -1.398 eV per atom
**Spin magnetization**: 2.72 μB/f.u.

***

# 4
DFT (GGA-PBE) results for an optimized crystal structure of SmY2P.

Unit cell a=3.768 b=3.768 c=10.413 alpha=79.58 beta=79.58 gamma=60.00
Sites, in units of the cell vectors:
Y1 0.114 0.114 0.658
Y2 0.886 0.886 0.342
P1 0.500 0.500 0.500
Sm1 0.000 0.000 0.000

Computed properties:
**Spin magnetization**: 1.04 μB/f.u.
**E_form**: -52.5 kJ/mol of atoms